Material: ScSe2
Method: DFT, PBE-GGA
State: relaxed

Unit cell a=9.771 b=3.762 c=7.826 alpha=90.00 beta=100.19 gamma=90.00
Space group Cm (No. 8)
Asymmetric unit:
1 Sc 0.000 0.000 0.000 x2
2 Sc 0.215 0.000 0.653 x2
3 Se 0.167 0.500 0.397 x2
4 Se 0.197 0.500 0.923 x2
5 Se 0.428 0.500 0.658 x2
6 Se 0.437 0.000 0.218 x2

Values from the calculation:
V	283.1	Å³/cell
total magnetization	0.00	μB/cell
ΔE_f (raw)	-3.9	eV/f.u.